First-principles (PBE) data for a relaxed structure of SrCa2HgPd, as listed in Alexandria via LeMat-Bulk.

Summary:
E_form = -0.361 eV/atom
M_tot = 0.0 μB per formula unit
Polymorph energy (0 for the lowest one) = 0 meV per atom
SG = P4/mmm, No. 123

Cell: 5.547 5.547 5.892 Å, 90.00 90.00 90.00°
Positions (direct):
Ca 0.000 0.500 0.000
Ca 0.500 0.000 0.000
Sr 0.000 0.000 0.500
Pd 0.000 0.000 0.000
Hg 0.500 0.500 0.500